No. 1
## Cs2CaBiS4 (PBE)

Data for an optimized crystal structure of Cs2CaBiS4.

The total energy comes out at -31.467 eV per formula unit. The total magnetic moment comes out at 7.7 Bohr magnetons per cell. The uncorrected formation energy comes out at -921 meV/atom.

The space group is Fddd (No. 70, origin choice 2) and the conventional cell measures 6.800, 15.230 and 25.452 Å, with angles of 90.00, 90.00 and 90.00 degrees. The asymmetric unit holds Cs at (0.125, 0.125, 0.307), Ca at (0.125, 0.125, 0.125), Bi at (0.125, 0.125, 0.625) and S at (0.115, 0.273, 0.824).



No. 2
## CsCaTl2Bi2 (PBE)

Data for an optimized crystal structure of CsCaTl2Bi2.

The total energy comes out at -17.473 eV per formula unit. The total magnetic moment comes out at 0.0 Bohr magnetons per cell. The value obtained for the formation energy is -353.9 meV/atom.

The space group is P-3m1 (No. 164) and the conventional cell measures 5.5150, 5.5150 and 9.1425 Å, with angles of 90.00, 90.00 and 120.00 degrees. The asymmetric unit holds Cs at (0.0000, 0.0000, 0.0000), Ca at (0.0000, 0.0000, 0.5000), Tl at (0.3333, 0.6667, 0.6561) and Bi at (0.3333, 0.6667, 0.2915).



No. 3
## CsCaTl4Bi2 (PBE)

Data for an optimized crystal structure of CsCaTl4Bi2.

The total energy comes out at -21.651 eV per formula unit. The total magnetic moment comes out at 0.0 Bohr magnetons per cell. The value obtained for the formation energy is -196.1 meV/atom.

The space group is P4/mmm (No. 123) and the conventional cell measures 4.621, 4.621 and 14.585 Å, with angles of 90.00, 90.00 and 90.00 degrees. The asymmetric unit holds Cs at (0.000, 0.000, 0.000), Ca at (0.000, 0.000, 0.500), Tl at (0.000, 0.500, 0.229) and Bi at (0.500, 0.500, 0.392).



No. 4
## CsCaBi2W (PBE)

Data for an optimized crystal structure of CsCaBi2W.

The total energy comes out at -13.840 eV per formula unit. The total magnetic moment comes out at 4.5 Bohr magnetons per cell. The value obtained for the formation energy is 1946.1 meV/atom.

The space group is P4/mmm (No. 123) and the conventional cell measures 6.247, 6.247 and 5.604 Å, with angles of 90.00, 90.00 and 90.00 degrees. The asymmetric unit holds Cs at (0.000, 0.000, 0.000), Ca at (0.500, 0.500, 0.500), Bi at (0.000, 0.500, 0.000) and W at (0.000, 0.000, 0.500).



No. 5
## Ca2CuBi2 (PBE)

Data for an optimized crystal structure of Ca2CuBi2.

The total energy comes out at -17.800 eV per formula unit. The total magnetic moment comes out at 0.0 Bohr magnetons per cell. The value obtained for the formation energy is -387.8 meV/atom.

The space group is P4/mbm (No. 127) and the conventional cell measures 7.747, 7.747 and 4.779 Å, with angles of 90.00, 90.00 and 90.00 degrees. The asymmetric unit holds Ca at (0.163, 0.337, 0.000), Cu at (0.000, 0.000, 0.500) and Bi at (0.150, 0.650, 0.500).



No. 6
## Ca2Cu2Bi (PBE)

Data for an optimized crystal structure of Ca2Cu2Bi.

The total energy comes out at -17.235 eV per formula unit. The total magnetic moment comes out at 0.0 Bohr magnetons per cell. The value obtained for the energy above the lowest structure with this stoichiometry is 73 meV/atom. The value obtained for the formation energy is -231.7 meV/atom.

The space group is I4/mmm (No. 139) and the conventional cell measures 3.578, 3.578 and 18.851 Å, with angles of 90.00, 90.00 and 90.00 degrees. The asymmetric unit holds Ca at (0.000, 0.000, 0.122), Cu at (0.000, 0.500, 0.250) and Bi at (0.000, 0.000, 0.500).



No. 7
## CaCuBi3 (PBE)

Data for an optimized crystal structure of CaCuBi3.

The total energy comes out at -17.816 eV per formula unit. The total magnetic moment comes out at 0.0 Bohr magnetons per cell. The value obtained for the energy above the lowest structure with this stoichiometry is 0 meV/atom. The value obtained for the formation energy is -15.1 meV/atom.

The space group is Pm-3m (No. 221) and the conventional cell measures 5.356, 5.356 and 5.356 Å, with angles of 90.00, 90.00 and 90.00 degrees. The asymmetric unit holds Ca at (0.000, 0.000, 0.000), Cu at (0.500, 0.500, 0.500) and Bi at (0.000, 0.500, 0.500).



No. 8
## Ca2CuBi (PBE)

Data for an optimized crystal structure of Ca2CuBi.

The total energy comes out at -13.639 eV per formula unit. The total magnetic moment comes out at 0.0 Bohr magnetons per cell. The value obtained for the formation energy is -414.7 meV/atom.

The space group is P4/mmm (No. 123) and the conventional cell measures 5.222, 5.222 and 3.976 Å, with angles of 90.00, 90.00 and 90.00 degrees. The asymmetric unit holds Ca at (0.000, 0.500, 0.000), Cu at (0.000, 0.000, 0.500) and Bi at (0.500, 0.500, 0.500).



No. 9
## CaCuBi2 (PBE)

Data for an optimized crystal structure of CaCuBi2.

The total energy comes out at -14.087 eV per formula unit. The total magnetic moment comes out at 0.0 Bohr magnetons per cell. The value obtained for the formation energy is -56.8 meV/atom.

The space group is Fm-3m (No. 225) and the conventional cell measures 7.501, 7.501 and 7.501 Å, with angles of 90.00, 90.00 and 90.00 degrees. The asymmetric unit holds Ca at (0.000, 0.000, 0.000), Cu at (0.000, 0.000, 0.500) and Bi at (0.250, 0.250, 0.250).



No. 10
## Ca3CuBi (PBE)

Data for an optimized crystal structure of Ca3CuBi.

The total energy comes out at -15.167 eV per formula unit. The total magnetic moment comes out at 0.0 Bohr magnetons per cell. The value obtained for the energy above the lowest structure with this stoichiometry is 0 meV/atom. The value obtained for the formation energy is -237.0 meV/atom.

The space group is Pm-3m (No. 221) and the conventional cell measures 5.461, 5.461 and 5.461 Å, with angles of 90.00, 90.00 and 90.00 degrees. The asymmetric unit holds Ca at (0.000, 0.000, 0.500), Cu at (0.000, 0.000, 0.000) and Bi at (0.500, 0.500, 0.500).



No. 11
## CaCu4Bi (PBE)

Data for an optimized crystal structure of CaCu4Bi.

The total energy comes out at -22.925 eV per formula unit. The total magnetic moment comes out at 0.0 Bohr magnetons per cell. The value obtained for the formation energy is -109.7 meV/atom.

The space group is F-43m (No. 216) and the conventional cell measures 7.451, 7.451 and 7.451 Å, with angles of 90.00, 90.00 and 90.00 degrees. The asymmetric unit holds Ca at (0.000, 0.000, 0.000), Cu at (0.126, 0.126, 0.626) and Bi at (0.250, 0.250, 0.250).



No. 12
## Ca2CuBi (PBE)

Data for an optimized crystal structure of Ca2CuBi.

The total energy comes out at -11.842 eV per formula unit. The total magnetic moment comes out at 0.0 Bohr magnetons per cell. The value obtained for the formation energy is 34.5 meV/atom.

The space group is I-42d (No. 122) and the conventional cell measures 6.128, 6.128 and 16.648 Å, with angles of 90.00, 90.00 and 90.00 degrees. The asymmetric unit holds Ca at (0.229, 0.250, 0.125), Cu at (0.000, 0.000, 0.000) and Bi at (0.000, 0.000, 0.500).



No. 13
## CaCuBi3 (PBE)

Data for an optimized crystal structure of CaCuBi3.

The total energy comes out at -13.421 eV per formula unit. The total magnetic moment comes out at 0.0 Bohr magnetons per cell. The value obtained for the energy above the lowest structure with this stoichiometry is 879 meV/atom. The value obtained for the formation energy is 864.0 meV/atom.

The space group is Pm-3m (No. 221) and the conventional cell measures 5.792, 5.792 and 5.792 Å, with angles of 90.00, 90.00 and 90.00 degrees. The asymmetric unit holds Ca at (0.000, 0.000, 0.000), Cu at (0.500, 0.500, 0.500) and Bi at (0.000, 0.000, 0.500).



No. 14
## Ca3CuBi (PBE)

Data for an optimized crystal structure of Ca3CuBi.

The total energy comes out at -13.306 eV per formula unit. The total magnetic moment comes out at 0.0 Bohr magnetons per cell. The value obtained for the energy above the lowest structure with this stoichiometry is 372 meV/atom. The value obtained for the formation energy is 135.1 meV/atom.

The space group is Pm-3m (No. 221) and the conventional cell measures 5.979, 5.979 and 5.979 Å, with angles of 90.00, 90.00 and 90.00 degrees. The asymmetric unit holds Ca at (0.000, 0.000, 0.500), Cu at (0.500, 0.500, 0.500) and Bi at (0.000, 0.000, 0.000).



No. 15
## CaCuBi2 (PBE)

Data for an optimized crystal structure of CaCuBi2.

The total energy comes out at -14.240 eV per formula unit. The total magnetic moment comes out at 0.0 Bohr magnetons per cell. The value obtained for the formation energy is -95.1 meV/atom.

The space group is R-3m (No. 166, hexagonal axes) and the conventional cell measures 4.1598, 4.1598 and 22.8392 Å, with angles of 90.00, 90.00 and 120.00 degrees. The asymmetric unit holds Ca at (0.0000, 0.0000, 0.0000), Cu at (0.0000, 0.0000, 0.5000) and Bi at (0.0000, 0.0000, 0.2283).



No. 16
## Ca2Cu2Bi (PBE)

Data for an optimized crystal structure of Ca2Cu2Bi.

The total energy comes out at -17.601 eV per formula unit. The total magnetic moment comes out at 0.0 Bohr magnetons per cell. The value obtained for the energy above the lowest structure with this stoichiometry is 0 meV/atom. The value obtained for the formation energy is -304.8 meV/atom.

The space group is P4/mbm (No. 127) and the conventional cell measures 7.851, 7.851 and 3.838 Å, with angles of 90.00, 90.00 and 90.00 degrees. The asymmetric unit holds Ca at (0.178, 0.322, 0.000), Cu at (0.109, 0.609, 0.500) and Bi at (0.000, 0.000, 0.500).



No. 17
## Ca2Cu2Bi (PBE)

Data for an optimized crystal structure of Ca2Cu2Bi.

The total energy comes out at -16.913 eV per formula unit. The total magnetic moment comes out at 0.0 Bohr magnetons per cell. The value obtained for the energy above the lowest structure with this stoichiometry is 137 meV/atom. The value obtained for the formation energy is -167.4 meV/atom.

The space group is I4/mmm (No. 139) and the conventional cell measures 5.655, 5.655 and 8.115 Å, with angles of 90.00, 90.00 and 90.00 degrees. The asymmetric unit holds Ca at (0.000, 0.500, 0.250), Cu at (0.000, 0.000, 0.142) and Bi at (0.000, 0.000, 0.500).



No. 18
## Ca2CuBiH (PBE)

Data for an optimized crystal structure of Ca2CuBiH.

The total energy comes out at -17.382 eV per formula unit. The total magnetic moment comes out at 0.0 Bohr magnetons per cell.

The space group is P4/mmm (No. 123) and the conventional cell measures 4.986, 4.986 and 4.205 Å, with angles of 90.00, 90.00 and 90.00 degrees. The asymmetric unit holds Ca at (0.000, 0.500, 0.000), Cu at (0.000, 0.000, 0.500), Bi at (0.500, 0.500, 0.500) and H at (0.000, 0.000, 0.000).



No. 19
## CaCu2HgBi (PBE)

Data for an optimized crystal structure of CaCu2HgBi.

The total energy comes out at -12.747 eV per formula unit. The total magnetic moment comes out at 0.0 Bohr magnetons per cell. The value obtained for the formation energy is 326.0 meV/atom.

The space group is P4/mmm (No. 123) and the conventional cell measures 4.902, 4.902 and 5.625 Å, with angles of 90.00, 90.00 and 90.00 degrees. The asymmetric unit holds Ca at (0.000, 0.000, 0.000), Cu at (0.000, 0.500, 0.500), Hg at (0.000, 0.000, 0.500) and Bi at (0.500, 0.500, 0.000).



No. 20
## Sr2CaCu2Bi2IO8 (PBE)

Data for an optimized crystal structure of Sr2CaCu2Bi2IO8.

The total energy comes out at -87.926 eV per formula unit. The total magnetic moment comes out at 0.0 Bohr magnetons per cell. The uncorrected formation energy comes out at -1587 meV/atom.

The space group is Pmna (No. 53) and the conventional cell measures 5.199, 19.174 and 5.510 Å, with angles of 90.00, 90.00 and 90.00 degrees. The asymmetric unit holds Sr at (0.000, 0.182, 0.007), Ca at (0.000, 0.000, 0.000), Cu at (0.000, 0.083, 0.500), Bi at (0.000, 0.330, 0.531), I at (0.000, 0.500, 0.000), O at (0.000, 0.223, 0.467), O at (0.000, 0.315, 0.914), O at (0.250, 0.081, 0.250) and O at (0.250, 0.086, 0.750).



No. 21
## CaIn2CuBi (PBE)

Data for an optimized crystal structure of CaIn2CuBi.

The total energy comes out at -16.117 eV per formula unit. The total magnetic moment comes out at 0.0 Bohr magnetons per cell. The value obtained for the formation energy is -132.2 meV/atom.

The space group is P4/mmm (No. 123) and the conventional cell measures 5.031, 5.031 and 5.515 Å, with angles of 90.00, 90.00 and 90.00 degrees. The asymmetric unit holds Ca at (0.000, 0.000, 0.000), In at (0.000, 0.500, 0.500), Cu at (0.000, 0.000, 0.500) and Bi at (0.500, 0.500, 0.000).



No. 22
## Ca2CuBiIr (PBE)

Data for an optimized crystal structure of Ca2CuBiIr.

The total energy comes out at -20.657 eV per formula unit. The total magnetic moment comes out at 0.0 Bohr magnetons per cell. The value obtained for the energy above the lowest structure with this stoichiometry is 0 meV/atom. The value obtained for the formation energy is 36.9 meV/atom.

The space group is P4/mmm (No. 123) and the conventional cell measures 5.224, 5.224 and 4.685 Å, with angles of 90.00, 90.00 and 90.00 degrees. The asymmetric unit holds Ca at (0.000, 0.500, 0.000), Cu at (0.000, 0.000, 0.000), Bi at (0.500, 0.500, 0.500) and Ir at (0.000, 0.000, 0.500).



No. 23
## Ca2CuBiIr (PBE)

Data for an optimized crystal structure of Ca2CuBiIr.

The total energy comes out at -17.331 eV per formula unit. The total magnetic moment comes out at 1.0 Bohr magnetons per cell. The value obtained for the energy above the lowest structure with this stoichiometry is 665 meV/atom. The value obtained for the formation energy is 702.0 meV/atom.

The space group is P4/mmm (No. 123) and the conventional cell measures 5.915, 5.915 and 4.777 Å, with angles of 90.00, 90.00 and 90.00 degrees. The asymmetric unit holds Ca at (0.000, 0.500, 0.000), Cu at (0.000, 0.000, 0.500), Bi at (0.000, 0.000, 0.000) and Ir at (0.500, 0.500, 0.500).



No. 24
## Ca2MgCuBi (PBE)

Data for an optimized crystal structure of Ca2MgCuBi.

The total energy comes out at -11.218 eV per formula unit. The total magnetic moment comes out at 0.0 Bohr magnetons per cell. The value obtained for the formation energy is 471.4 meV/atom.

The space group is P4/mmm (No. 123) and the conventional cell measures 5.977, 5.977 and 5.254 Å, with angles of 90.00, 90.00 and 90.00 degrees. The asymmetric unit holds Ca at (0.000, 0.500, 0.000), Mg at (0.000, 0.000, 0.000), Cu at (0.500, 0.500, 0.500) and Bi at (0.000, 0.000, 0.500).



No. 25
## CaCuBiMo2 (PBE)

Data for an optimized crystal structure of CaCuBiMo2.

The total energy comes out at -26.592 eV per formula unit. The total magnetic moment comes out at 4.4 Bohr magnetons per cell. The value obtained for the formation energy is 1009.9 meV/atom.

The space group is P4/mmm (No. 123) and the conventional cell measures 4.799, 4.799 and 5.048 Å, with angles of 90.00, 90.00 and 90.00 degrees. The asymmetric unit holds Ca at (0.000, 0.000, 0.000), Cu at (0.000, 0.000, 0.500), Bi at (0.500, 0.500, 0.000) and Mo at (0.000, 0.500, 0.500).



No. 26
## Ca2CuBiN (PBE)

Data for an optimized crystal structure of Ca2CuBiN.

The total energy comes out at -23.004 eV per formula unit. The total magnetic moment comes out at 0.0 Bohr magnetons per cell. The uncorrected formation energy comes out at -540 meV/atom.

The space group is P4/mmm (No. 123) and the conventional cell measures 5.281, 5.281 and 3.758 Å, with angles of 90.00, 90.00 and 90.00 degrees. The asymmetric unit holds Ca at (0.000, 0.500, 0.000), Cu at (0.000, 0.000, 0.500), Bi at (0.500, 0.500, 0.500) and N at (0.000, 0.000, 0.000).